# 1
An optimized crystal structure of Sc6Bi3Se. Source: Alexandria via LeMat-Bulk, functional PBE.

Total magnetic moment in μB per cell: 6.19
E in eV per atom: -5.91

```
data_Sc6Bi3Se
_cell_length_a 11.234
_cell_length_b 13.765
_cell_length_c 6.967
_cell_angle_alpha 90.00
_cell_angle_beta 90.00
_cell_angle_gamma 90.00
_symmetry_space_group_name_H-M 'C m c 21'
_symmetry_Int_Tables_number 36
_symmetry_space_group_name_Hall 'C 2c -2'
loop_
_atom_site_label
_atom_site_type_symbol
_atom_site_fract_x
_atom_site_fract_y
_atom_site_fract_z
Sc1 Sc 0.000 0.013 0.000
Sc2 Sc 0.000 0.242 0.602
Sc3 Sc 0.155 0.446 0.574
Sc4 Sc 0.167 0.249 0.066
Bi1 Bi 0.000 0.398 0.909
Bi2 Bi 0.186 0.098 0.747
Se1 Se 0.000 0.153 0.267
```


# 2
An optimized crystal structure of MgTi2. Source: Alexandria via LeMat-Bulk, functional PBE.

Total magnetic moment in μB per cell: 1.17
Energy relative to the elements in eV per atom: 0.18
E in eV per atom: -5.62

```
data_MgTi2
_cell_length_a 4.967
_cell_length_b 2.826
_cell_length_c 15.800
_cell_angle_alpha 90.00
_cell_angle_beta 90.00
_cell_angle_gamma 90.00
_symmetry_space_group_name_H-M 'A m m 2'
_symmetry_Int_Tables_number 38
_symmetry_space_group_name_Hall 'A 2 -2'
loop_
_atom_site_label
_atom_site_type_symbol
_atom_site_fract_x
_atom_site_fract_y
_atom_site_fract_z
Mg1 Mg 0.000 0.000 0.000
Mg2 Mg 0.000 0.000 0.331
Ti1 Ti 0.000 0.000 0.662
Ti2 Ti 0.500 0.000 0.107
Ti3 Ti 0.500 0.000 0.440
Ti4 Ti 0.500 0.000 0.762
```


# 3
An optimized crystal structure of Zr3AuF. Source: Alexandria via LeMat-Bulk, functional PBE.

Total magnetic moment in μB per cell: 0.01
Offset from the most stable computed form in kJ/mol of formula units: 0
E in eV per atom: -6.82

```
data_Zr3AuF
_cell_length_a 4.520
_cell_length_b 4.520
_cell_length_c 4.520
_cell_angle_alpha 90.00
_cell_angle_beta 90.00
_cell_angle_gamma 90.00
_symmetry_space_group_name_H-M 'P m -3 m'
_symmetry_Int_Tables_number 221
_symmetry_space_group_name_Hall '-P 4 2 3'
loop_
_atom_site_label
_atom_site_type_symbol
_atom_site_fract_x
_atom_site_fract_y
_atom_site_fract_z
Zr1 Zr 0.000 0.000 0.500
Au1 Au 0.500 0.500 0.500
F1 F 0.000 0.000 0.000
```


# 4
An optimized crystal structure of KUS3. Source: Alexandria via LeMat-Bulk, functional PBE.

Total magnetic moment in μB per cell: 4.00
Offset from the most stable computed form in kJ/mol of formula units: 17
E in eV per atom: -6.25

```
data_KUS3
_cell_length_a 13.357
_cell_length_b 5.263
_cell_length_c 8.678
_cell_angle_alpha 90.00
_cell_angle_beta 102.61
_cell_angle_gamma 90.00
_symmetry_space_group_name_H-M 'C 1 2/m 1'
_symmetry_Int_Tables_number 12
_symmetry_space_group_name_Hall '-C 2y'
loop_
_atom_site_label
_atom_site_type_symbol
_atom_site_fract_x
_atom_site_fract_y
_atom_site_fract_z
K1 K 0.124 0.000 0.397
U1 U 0.131 0.500 0.917
S1 S 0.070 0.500 0.182
S2 S 0.145 0.500 0.640
S3 S 0.165 0.000 0.949
```


# 5
An optimized crystal structure of BeAs2Ir. Source: Alexandria via LeMat-Bulk, functional PBE.

Total magnetic moment in μB per cell: 0.00
Energy relative to the elements in eV per atom: -0.10
E in eV per atom: -5.57

```
data_BeAs2Ir
_cell_length_a 6.601
_cell_length_b 3.832
_cell_length_c 6.467
_cell_angle_alpha 90.00
_cell_angle_beta 118.81
_cell_angle_gamma 90.00
_symmetry_space_group_name_H-M 'C 1 m 1'
_symmetry_Int_Tables_number 8
_symmetry_space_group_name_Hall 'C -2y'
loop_
_atom_site_label
_atom_site_type_symbol
_atom_site_fract_x
_atom_site_fract_y
_atom_site_fract_z
Be1 Be 0.000 0.000 0.000
As1 As 0.043 0.500 0.737
As2 As 0.292 0.500 0.262
Ir1 Ir 0.334 0.000 0.999
```


# 6
An optimized crystal structure of Sm4TlS2. Source: Alexandria via LeMat-Bulk, functional PBE.

Total magnetic moment in μB per cell: 0.40
E in eV per atom: -5.51

```
data_Sm4TlS2
_cell_length_a 4.051
_cell_length_b 13.452
_cell_length_c 13.949
_cell_angle_alpha 90.00
_cell_angle_beta 90.00
_cell_angle_gamma 90.00
_symmetry_space_group_name_H-M 'C m c m'
_symmetry_Int_Tables_number 63
_symmetry_space_group_name_Hall '-C 2c 2'
loop_
_atom_site_label
_atom_site_type_symbol
_atom_site_fract_x
_atom_site_fract_y
_atom_site_fract_z
Sm1 Sm 0.000 0.000 0.000
Sm2 Sm 0.000 0.266 0.114
Sm3 Sm 0.000 0.428 0.750
Tl1 Tl 0.000 0.109 0.750
S1 S 0.000 0.366 0.560
```


# 7
An optimized crystal structure of MgIn2Br5. Source: Alexandria via LeMat-Bulk, functional PBE.

Total magnetic moment in μB per cell: 0.00
E in eV per atom: -2.82

```
data_MgIn2Br5
_cell_length_a 5.813
_cell_length_b 14.269
_cell_length_c 13.880
_cell_angle_alpha 90.00
_cell_angle_beta 90.00
_cell_angle_gamma 90.00
_symmetry_space_group_name_H-M 'C m c m'
_symmetry_Int_Tables_number 63
_symmetry_space_group_name_Hall '-C 2c 2'
loop_
_atom_site_label
_atom_site_type_symbol
_atom_site_fract_x
_atom_site_fract_y
_atom_site_fract_z
Mg1 Mg 0.000 0.192 0.250
In1 In 0.000 0.150 0.578
Br1 Br 0.000 0.062 0.117
Br2 Br 0.000 0.298 0.750
Br3 Br 0.000 0.324 0.106
```


# 8
An optimized crystal structure of Ce4PuO10. Source: Alexandria via LeMat-Bulk, functional PBE.

Total magnetic moment in μB per cell: 8.01
E in eV per atom: -9.22

```
data_Ce4PuO10
_cell_length_a 8.618
_cell_length_b 8.618
_cell_length_c 5.451
_cell_angle_alpha 90.00
_cell_angle_beta 90.00
_cell_angle_gamma 90.00
_symmetry_space_group_name_H-M 'I 4/m'
_symmetry_Int_Tables_number 87
_symmetry_space_group_name_Hall '-I 4'
loop_
_atom_site_label
_atom_site_type_symbol
_atom_site_fract_x
_atom_site_fract_y
_atom_site_fract_z
Ce1 Ce 0.100 0.700 0.000
Pu1 Pu 0.000 0.000 0.500
O1 O 0.000 0.500 0.250
O2 O 0.099 0.197 0.253
```


# 9
An optimized crystal structure of NdZrZnNi. Source: Alexandria via LeMat-Bulk, functional PBE.

Total magnetic moment in μB per cell: 2.46
Energy relative to the elements in eV per atom: -0.12
E in eV per atom: -5.22

```
data_NdZrZnNi
_cell_length_a 6.880
_cell_length_b 6.880
_cell_length_c 6.880
_cell_angle_alpha 90.00
_cell_angle_beta 90.00
_cell_angle_gamma 90.00
_symmetry_space_group_name_H-M 'F -4 3 m'
_symmetry_Int_Tables_number 216
_symmetry_space_group_name_Hall 'F -4 2 3'
loop_
_atom_site_label
_atom_site_type_symbol
_atom_site_fract_x
_atom_site_fract_y
_atom_site_fract_z
Nd1 Nd 0.000 0.000 0.000
Zr1 Zr 0.000 0.000 0.500
Zn1 Zn 0.250 0.250 0.250
Ni1 Ni 0.250 0.250 0.750
```


# 10
An optimized crystal structure of Li4Y3GaS8. Source: Alexandria via LeMat-Bulk, functional PBE.

Total magnetic moment in μB per cell: 0.00
E in eV per atom: -5.51

```
data_Li4Y3GaS8
_cell_length_a 7.6771
_cell_length_b 7.6771
_cell_length_c 18.4992
_cell_angle_alpha 90.00
_cell_angle_beta 90.00
_cell_angle_gamma 120.00
_symmetry_space_group_name_H-M 'R -3 m'
_symmetry_Int_Tables_number 166
_symmetry_space_group_name_Hall '-R 3 2"'
loop_
_atom_site_label
_atom_site_type_symbol
_atom_site_fract_x
_atom_site_fract_y
_atom_site_fract_z
Li1 Li 0.0000 0.0000 0.0000
Li2 Li 0.0000 0.5000 0.0000
Y1 Y 0.0000 0.5000 0.5000
Ga1 Ga 0.0000 0.0000 0.5000
S1 S 0.0000 0.0000 0.2509
S2 S 0.0194 0.5097 0.2483
```


# 11
An optimized crystal structure of Pr2Ga4NiIr3. Source: Alexandria via LeMat-Bulk, functional PBE.

Total magnetic moment in μB per cell: 0.00
Energy relative to the elements in eV per atom: -0.66
E in eV per atom: -6.06

```
data_Pr2Ga4NiIr3
_cell_length_a 4.234
_cell_length_b 4.234
_cell_length_c 10.462
_cell_angle_alpha 90.00
_cell_angle_beta 90.00
_cell_angle_gamma 90.00
_symmetry_space_group_name_H-M 'P -4 m 2'
_symmetry_Int_Tables_number 115
_symmetry_space_group_name_Hall 'P -4 -2'
loop_
_atom_site_label
_atom_site_type_symbol
_atom_site_fract_x
_atom_site_fract_y
_atom_site_fract_z
Pr1 Pr 0.000 0.500 0.244
Ga1 Ga 0.000 0.000 0.500
Ga2 Ga 0.000 0.500 0.877
Ga3 Ga 0.500 0.500 0.500
Ni1 Ni 0.500 0.500 0.000
Ir1 Ir 0.000 0.000 0.000
Ir2 Ir 0.000 0.500 0.636
```


# 12
An optimized crystal structure of SiAg2Sb. Source: Alexandria via LeMat-Bulk, functional PBE.

Total magnetic moment in μB per cell: 0.00
Offset from the most stable computed form in kJ/mol of formula units: 53
E in eV per atom: -3.43

```
data_SiAg2Sb
_cell_length_a 6.905
_cell_length_b 6.905
_cell_length_c 6.905
_cell_angle_alpha 90.00
_cell_angle_beta 90.00
_cell_angle_gamma 90.00
_symmetry_space_group_name_H-M 'F -4 3 m'
_symmetry_Int_Tables_number 216
_symmetry_space_group_name_Hall 'F -4 2 3'
loop_
_atom_site_label
_atom_site_type_symbol
_atom_site_fract_x
_atom_site_fract_y
_atom_site_fract_z
Si1 Si 0.000 0.000 0.000
Ag1 Ag 0.000 0.000 0.500
Ag2 Ag 0.250 0.250 0.750
Sb1 Sb 0.250 0.250 0.250
```